Entry 1:
Computed, not measured: Hf2MnB after structural relaxation at the PBE-GGA level of DFT.

Unit cell a=8.5388 b=8.5388 c=3.7747 alpha=90.00 beta=90.00 gamma=90.00
Space group I-42d (No. 122)
One atom of each set of equivalent atoms:
Hf1 0.0973 0.2500 0.1250 (multiplicity 8)
Mn1 0.0000 0.0000 0.5000 (multiplicity 4)
B1 0.0000 0.0000 0.0000 (multiplicity 4)

Values from the calculation:
formation energy from the elements = 0.117 eV per atom
density = 10.20 Mg/m³

Entry 2:
Computed, not measured: TaSn2GeBr after structural relaxation at the PBE-GGA level of DFT.

Unit cell a=5.3371 b=5.3371 c=4.9647 alpha=90.00 beta=90.00 gamma=90.00
Space group P4/mmm (No. 123)
One atom of each set of equivalent atoms:
Ta1 0.0000 0.0000 0.0000 (multiplicity 1)
Sn1 0.0000 0.5000 0.5000 (multiplicity 2)
Ge1 0.5000 0.5000 0.0000 (multiplicity 1)
Br1 0.5000 0.5000 0.5000 (multiplicity 1)

Values from the calculation:
ΔE_f (raw) = 1.45 eV per atom
density = 6.70 Mg/m³

Entry 3:
Computed, not measured: Ce2Ga3GePd4 after structural relaxation at the PBE-GGA level of DFT.

Unit cell a=4.3330 b=4.3330 c=10.2812 alpha=90.00 beta=90.00 gamma=90.00
Space group P-4m2 (No. 115)
One atom of each set of equivalent atoms:
Ce1 0.0000 0.5000 0.2434 (multiplicity 2)
Ga1 0.0000 0.0000 0.0000 (multiplicity 1)
Ga2 0.0000 0.5000 0.6281 (multiplicity 2)
Ge1 0.5000 0.5000 0.0000 (multiplicity 1)
Pd1 0.0000 0.0000 0.5000 (multiplicity 1)
Pd2 0.0000 0.5000 0.8692 (multiplicity 2)
Pd3 0.5000 0.5000 0.5000 (multiplicity 1)

Values from the calculation:
formation energy from the elements = -0.757 eV per atom
density = 8.50 Mg/m³

Entry 4:
Computed, not measured: CaLaY2 after structural relaxation at the PBE-GGA level of DFT.

Unit cell a=4.0274 b=5.9331 c=11.9235 alpha=90.00 beta=90.00 gamma=90.00
Space group Imm2 (No. 44)
One atom of each set of equivalent atoms:
Ca1 0.0000 0.0000 0.0000 (multiplicity 2)
La1 0.0000 0.5000 0.7595 (multiplicity 2)
Y1 0.0000 0.0000 0.5152 (multiplicity 2)
Y2 0.0000 0.5000 0.2561 (multiplicity 2)

Values from the calculation:
energy above the lowest structure with this stoichiometry = 73.2 meV per atom
formation energy from the elements = 0.129 eV per atom
density = 4.16 Mg/m³

Entry 5:
Computed, not measured: AlFeAs3 after structural relaxation at the PBE-GGA level of DFT.

Unit cell a=4.6242 b=4.6242 c=4.6242 alpha=90.00 beta=90.00 gamma=90.00
Space group Pm-3m (No. 221)
One atom of each set of equivalent atoms:
Al1 0.0000 0.0000 0.0000 (multiplicity 1)
Fe1 0.5000 0.5000 0.5000 (multiplicity 1)
As1 0.0000 0.5000 0.5000 (multiplicity 3)

Values from the calculation:
formation energy from the elements = 0.466 eV per atom
density = 5.17 Mg/m³

Entry 6:
Computed, not measured: CoTcHg2 after structural relaxation at the PBE-GGA level of DFT.

Unit cell a=7.3815 b=7.3815 c=5.5417 alpha=90.00 beta=90.00 gamma=90.00
Space group I-42d (No. 122)
One atom of each set of equivalent atoms:
Co1 0.0000 0.0000 0.0000 (multiplicity 4)
Tc1 0.0000 0.0000 0.5000 (multiplicity 4)
Hg1 0.2302 0.2500 0.1250 (multiplicity 8)

Values from the calculation:
energy above the lowest structure with this stoichiometry = 639.4 meV per atom
formation energy from the elements = 0.973 eV per atom
density = 12.28 Mg/m³

Entry 7:
Computed, not measured: LiLaMgGe2 after structural relaxation at the PBE-GGA level of DFT.

Unit cell a=4.3356 b=4.3356 c=11.5421 alpha=90.00 beta=90.00 gamma=90.00
Space group I-4m2 (No. 119)
One atom of each set of equivalent atoms:
Li1 0.0000 0.0000 0.0000 (multiplicity 2)
La1 0.0000 0.5000 0.7500 (multiplicity 2)
Mg1 0.0000 0.0000 0.5000 (multiplicity 2)
Ge1 0.0000 0.5000 0.1406 (multiplicity 4)

Values from the calculation:
formation energy from the elements = -0.584 eV per atom
density = 4.83 Mg/m³

Entry 8:
Computed, not measured: CoTcAg2 after structural relaxation at the PBE-GGA level of DFT.

Unit cell a=2.6245 b=4.6479 c=5.1508 alpha=90.00 beta=100.64 gamma=90.00
Space group P2/m (No. 10)
One atom of each set of equivalent atoms:
Co1 0.0000 0.0000 0.0000 (multiplicity 1)
Tc1 0.5000 0.0000 0.5000 (multiplicity 1)
Ag1 0.1862 0.5000 0.7572 (multiplicity 2)

Values from the calculation:
energy above the lowest structure with this stoichiometry = 324.8 meV per atom
formation energy from the elements = 0.588 eV per atom
density = 10.02 Mg/m³

Entry 9:
Computed, not measured: Os2Ru5Rh2 after structural relaxation at the PBE-GGA level of DFT.

Unit cell a=8.5149 b=4.0690 c=7.7402 alpha=90.00 beta=98.80 gamma=90.00
Space group C2/m (No. 12)
One atom of each set of equivalent atoms:
Os1 0.2407 0.0000 0.0854 (multiplicity 4)
Ru1 0.0000 0.5000 0.5000 (multiplicity 2)
Ru2 0.0636 0.5000 0.1689 (multiplicity 4)
Ru3 0.1195 0.0000 0.7386 (multiplicity 4)
Rh1 0.1821 0.0000 0.3978 (multiplicity 4)

Values from the calculation:
formation energy from the elements = 0.300 eV per atom
density = 13.68 Mg/m³

Entry 10:
Computed, not measured: Ho4AlCo2 after structural relaxation at the PBE-GGA level of DFT.

Unit cell a=4.7345 b=4.7345 c=25.1851 alpha=90.00 beta=90.00 gamma=120.00
Space group R-3m (No. 166, hexagonal axes)
One atom of each set of equivalent atoms:
Ho1 0.0000 0.0000 0.1131 (multiplicity 6)
Ho2 0.0000 0.0000 0.2959 (multiplicity 6)
Al1 0.0000 0.0000 0.5000 (multiplicity 3)
Co1 0.0000 0.0000 0.4073 (multiplicity 6)

Values from the calculation:
formation energy from the elements = -0.156 eV per atom
density = 8.20 Mg/m³